PBE VGeRu2Pb, relaxed; DFT formation energy = 6.9 eV/f.u.; M_tot = 0.9 Bohr magnetons per cell; N(E_F) = 6.25 states/eV/cell; calculated total energy = -5.83 eV per atom
1.0
4.528 0.000 0.000
0.000 5.180 0.000
0.000 0.000 4.528
Pb Ru Ge V
1 2 1 1
direct
0.000 0.500 0.000 Pb
0.000 0.000 0.500 Ru
0.500 0.000 0.000 Ru
0.000 0.000 0.000 Ge
0.500 0.500 0.500 V